[1]
DFT (PBE) results for a relaxed structure of Li7Ag3Rh.

Computed properties:
DOS at the Fermi energy: 7.68 states/eV/cell
energy of formation: -1.4 eV/f.u.

Lattice parameters (Å, degrees): 2.7973 8.6945 15.2253 90.00 90.00 99.26
Last column: nearest neighbours and their distance in Å.
Atoms (fractional coordinates):
1 Li 0.3892 0.7784 0.1670  5 Li 2.53-2.82, 2 Rh 2.61, 4 Ag 2.67-2.73
2 Li 0.7609 0.5218 0.5921  3 Ag 2.65-2.84, 3 Li 2.80-2.82
3 Li 0.7609 0.5218 0.9079  3 Ag 2.65-2.84, 3 Li 2.80-2.82
4 Li 0.3892 0.7784 0.3330  5 Li 2.53-2.82, 2 Rh 2.61, 4 Ag 2.67-2.73
5 Li 0.2391 0.4782 0.0921  3 Ag 2.65-2.84, 3 Li 2.80-2.82
6 Li 0.6108 0.2216 0.6670  5 Li 2.53-2.82, 2 Rh 2.61, 4 Ag 2.67-2.73
7 Li 0.3769 0.7537 0.7500  1 Ag 2.59, 2 Rh 2.61, 4 Li 2.80-2.81
8 Li 0.4727 0.9454 0.9000  4 Li 2.58-2.81, 2 Rh 2.74, 2 Ag 2.78
9 Li 0.2391 0.4782 0.4079  3 Ag 2.65-2.84, 3 Li 2.80-2.82
10 Li 0.6231 0.2463 0.2500  1 Ag 2.59, 2 Rh 2.61, 4 Li 2.80-2.81
11 Li 0.5273 0.0546 0.1000  4 Li 2.58-2.81, 2 Rh 2.74, 2 Ag 2.78
12 Li 0.5273 0.0546 0.4000  4 Li 2.58-2.81, 2 Rh 2.74, 2 Ag 2.78
13 Li 0.6108 0.2216 0.8330  5 Li 2.53-2.82, 2 Rh 2.61, 4 Ag 2.67-2.73
14 Li 0.4727 0.9454 0.6000  4 Li 2.58-2.81, 2 Rh 2.74, 2 Ag 2.78
15 Ag 0.1199 0.2399 0.9820  5 Li 2.65-2.78, 2 Ag 2.80
16 Ag 0.2262 0.4523 0.7500  9 Li 2.59-2.84, 2 Ag 2.80
17 Ag 0.8801 0.7601 0.4820  5 Li 2.65-2.78, 2 Ag 2.80
18 Ag 0.1199 0.2399 0.5180  5 Li 2.65-2.78, 2 Ag 2.80
19 Ag 0.7738 0.5477 0.2500  9 Li 2.59-2.84, 2 Ag 2.80
20 Ag 0.8801 0.7601 0.0180  5 Li 2.65-2.78, 2 Ag 2.80
21 Rh 0.0052 0.0105 0.7500  10 Li 2.61-2.74, 2 Rh 2.80
22 Rh 0.9948 0.9895 0.2500  10 Li 2.61-2.74, 2 Rh 2.80

---

[2]
DFT (PBE) results for a relaxed structure of Pr6Co2NCl3.

Computed properties:
DOS at the Fermi energy: 1.03 states/eV/cell
raw formation energy: -12.31 eV/f.u.

Lattice parameters (Å, degrees): 6.7941 6.7941 7.8227 98.30 98.30 120.03
Last column: nearest neighbours and their distance in Å.
Atoms (fractional coordinates):
1 Cl 0.1672 0.8328 0.5000  6 Pr 3.19-3.29
2 Cl 0.5000 0.5000 0.5000  6 Pr 3.19-3.30
3 Cl 0.8328 0.1672 0.5000  6 Pr 3.19-3.29
4 Co 0.6667 0.3333 0.0000  6 Pr 2.73-2.74
5 Co 0.3333 0.6667 0.0000  6 Pr 2.73-2.74
6 Pr 0.2530 0.2530 0.8063  1 N 2.60, 2 Co 2.74
7 Pr 0.0651 0.3833 0.1942  1 N 2.61, 2 Co 2.73-2.74
8 Pr 0.7470 0.7470 0.1937  1 N 2.60, 2 Co 2.74
9 Pr 0.9349 0.6167 0.8058  1 N 2.61, 2 Co 2.73-2.74
10 Pr 0.3833 0.0651 0.1942  1 N 2.61, 2 Co 2.73-2.74
11 Pr 0.6167 0.9349 0.8058  1 N 2.61, 2 Co 2.73-2.74
12 N 0.0000 0.0000 0.0000  6 Pr 2.60-2.61

---

[3]
DFT (PBE) results for a relaxed structure of TmCd2Sb.

Computed properties:
DOS at the Fermi energy: 2.79 states/eV/cell
raw formation energy: 0.84 eV/f.u.

Lattice parameters (Å, degrees): 3.3219 3.3219 11.6917 81.83 81.83 60.00
Last column: nearest neighbours and their distance in Å.
Atoms (fractional coordinates):
1 Sb 0.5000 0.5000 0.5000  6 Cd 3.30, 6 Sb 3.32
2 Cd 0.0891 0.0891 0.7327  1 Tm 3.08, 3 Sb 3.30, 6 Cd 3.32
3 Cd 0.9109 0.9109 0.2673  1 Tm 3.08, 3 Sb 3.30, 6 Cd 3.32
4 Tm 0.0000 0.0000 0.0000  2 Cd 3.08, 6 Tm 3.32

---

[4]
DFT (PBE) results for a relaxed structure of SnRhPbS2.

Computed properties:
DOS at the Fermi energy: 3.54 states/eV/cell
raw formation energy: 3.80 eV/f.u.

Lattice parameters (Å, degrees): 5.2082 5.0472 5.2082 90.00 90.00 90.00
Last column: nearest neighbours and their distance in Å.
Atoms (fractional coordinates):
1 Sn 0.5000 0.5000 0.5000  8 S 3.63, 4 Rh 3.68
2 S 0.5000 0.0000 0.0000  2 Pb 2.60
3 S 0.0000 0.0000 0.5000  2 Pb 2.60
4 Pb 0.0000 0.0000 0.0000  2 Rh 2.52, 4 S 2.60
5 Rh 0.0000 0.5000 0.0000  2 Pb 2.52

---

[5]
DFT (PBE) results for a relaxed structure of Pa2S3.

Computed properties:
DOS at the Fermi energy: 30.15 states/eV/cell
excess energy over the best structure of this formula in the dataset: 0.000 eV per atom
raw formation energy: -8.34 eV/f.u.

Lattice parameters (Å, degrees): 3.8231 7.3733 14.8983 90.00 90.00 90.00
Last column: nearest neighbours and their distance in Å.
Atoms (fractional coordinates):
1 Pa 0.7500 0.7414 0.9587  7 S 2.75-2.85
2 Pa 0.7500 0.8982 0.2115  7 S 2.73-2.83
3 Pa 0.2500 0.1018 0.7885  7 S 2.73-2.83
4 Pa 0.2500 0.7586 0.4587  7 S 2.75-2.85
5 Pa 0.2500 0.2586 0.0413  7 S 2.75-2.85
6 Pa 0.7500 0.2414 0.5413  7 S 2.75-2.85
7 Pa 0.7500 0.3982 0.2885  7 S 2.73-2.83
8 Pa 0.2500 0.6018 0.7115  7 S 2.73-2.83
9 S 0.7500 0.1230 0.9269  5 Pa 2.75-2.85
10 S 0.2500 0.6677 0.2753  5 Pa 2.73-2.81
11 S 0.7500 0.5026 0.1058  4 Pa 2.80-2.83
12 S 0.2500 0.1677 0.2247  5 Pa 2.73-2.81
13 S 0.7500 0.6230 0.5731  5 Pa 2.75-2.85
14 S 0.2500 0.8770 0.0731  5 Pa 2.75-2.85
15 S 0.7500 0.0026 0.3942  4 Pa 2.80-2.83
16 S 0.2500 0.3770 0.4269  5 Pa 2.75-2.85
17 S 0.7500 0.8323 0.7753  5 Pa 2.73-2.81
18 S 0.2500 0.4974 0.8942  4 Pa 2.80-2.83
19 S 0.2500 0.9974 0.6058  4 Pa 2.80-2.83
20 S 0.7500 0.3323 0.7247  5 Pa 2.73-2.81

---

[6]
DFT (PBE) results for a relaxed structure of CaSiBI2.

Computed properties:
DOS at the Fermi energy: 3.89 states/eV/cell
raw formation energy: 3.83 eV/f.u.

Lattice parameters (Å, degrees): 4.9958 5.2169 4.9958 90.00 90.00 90.00
Last column: nearest neighbours and their distance in Å.
Atoms (fractional coordinates):
1 Ca 0.0000 0.5000 0.0000  2 B 2.61
2 Si 0.5000 0.5000 0.5000  4 Ca 3.53, 8 I 3.61
3 B 0.0000 0.0000 0.0000  4 I 2.50, 2 Ca 2.61
4 I 0.5000 0.0000 0.0000  2 B 2.50
5 I 0.0000 0.0000 0.5000  2 B 2.50

---

> Look up the DOS at the Fermi energy of the second one.

1.03 states/eV/cell

---

What did the first record say?
DFT (PBE) results for a relaxed structure of Li7Ag3Rh.

Computed properties:
DOS at the Fermi energy: 7.68 states/eV/cell
energy of formation: -1.4 eV/f.u.

Lattice parameters (Å, degrees): 2.7973 8.6945 15.2253 90.00 90.00 99.26
Last column: nearest neighbours and their distance in Å.
Atoms (fractional coordinates):
1 Li 0.3892 0.7784 0.1670  5 Li 2.53-2.82, 2 Rh 2.61, 4 Ag 2.67-2.73
2 Li 0.7609 0.5218 0.5921  3 Ag 2.65-2.84, 3 Li 2.80-2.82
3 Li 0.7609 0.5218 0.9079  3 Ag 2.65-2.84, 3 Li 2.80-2.82
4 Li 0.3892 0.7784 0.3330  5 Li 2.53-2.82, 2 Rh 2.61, 4 Ag 2.67-2.73
5 Li 0.2391 0.4782 0.0921  3 Ag 2.65-2.84, 3 Li 2.80-2.82
6 Li 0.6108 0.2216 0.6670  5 Li 2.53-2.82, 2 Rh 2.61, 4 Ag 2.67-2.73
7 Li 0.3769 0.7537 0.7500  1 Ag 2.59, 2 Rh 2.61, 4 Li 2.80-2.81
8 Li 0.4727 0.9454 0.9000  4 Li 2.58-2.81, 2 Rh 2.74, 2 Ag 2.78
9 Li 0.2391 0.4782 0.4079  3 Ag 2.65-2.84, 3 Li 2.80-2.82
10 Li 0.6231 0.2463 0.2500  1 Ag 2.59, 2 Rh 2.61, 4 Li 2.80-2.81
11 Li 0.5273 0.0546 0.1000  4 Li 2.58-2.81, 2 Rh 2.74, 2 Ag 2.78
12 Li 0.5273 0.0546 0.4000  4 Li 2.58-2.81, 2 Rh 2.74, 2 Ag 2.78
13 Li 0.6108 0.2216 0.8330  5 Li 2.53-2.82, 2 Rh 2.61, 4 Ag 2.67-2.73
14 Li 0.4727 0.9454 0.6000  4 Li 2.58-2.81, 2 Rh 2.74, 2 Ag 2.78
15 Ag 0.1199 0.2399 0.9820  5 Li 2.65-2.78, 2 Ag 2.80
16 Ag 0.2262 0.4523 0.7500  9 Li 2.59-2.84, 2 Ag 2.80
17 Ag 0.8801 0.7601 0.4820  5 Li 2.65-2.78, 2 Ag 2.80
18 Ag 0.1199 0.2399 0.5180  5 Li 2.65-2.78, 2 Ag 2.80
19 Ag 0.7738 0.5477 0.2500  9 Li 2.59-2.84, 2 Ag 2.80
20 Ag 0.8801 0.7601 0.0180  5 Li 2.65-2.78, 2 Ag 2.80
21 Rh 0.0052 0.0105 0.7500  10 Li 2.61-2.74, 2 Rh 2.80
22 Rh 0.9948 0.9895 0.2500  10 Li 2.61-2.74, 2 Rh 2.80

---

What did the first record say?
DFT (PBE) results for a relaxed structure of Li7Ag3Rh.

Computed properties:
DOS at the Fermi energy: 7.68 states/eV/cell
energy of formation: -1.4 eV/f.u.

Lattice parameters (Å, degrees): 2.7973 8.6945 15.2253 90.00 90.00 99.26
Last column: nearest neighbours and their distance in Å.
Atoms (fractional coordinates):
1 Li 0.3892 0.7784 0.1670  5 Li 2.53-2.82, 2 Rh 2.61, 4 Ag 2.67-2.73
2 Li 0.7609 0.5218 0.5921  3 Ag 2.65-2.84, 3 Li 2.80-2.82
3 Li 0.7609 0.5218 0.9079  3 Ag 2.65-2.84, 3 Li 2.80-2.82
4 Li 0.3892 0.7784 0.3330  5 Li 2.53-2.82, 2 Rh 2.61, 4 Ag 2.67-2.73
5 Li 0.2391 0.4782 0.0921  3 Ag 2.65-2.84, 3 Li 2.80-2.82
6 Li 0.6108 0.2216 0.6670  5 Li 2.53-2.82, 2 Rh 2.61, 4 Ag 2.67-2.73
7 Li 0.3769 0.7537 0.7500  1 Ag 2.59, 2 Rh 2.61, 4 Li 2.80-2.81
8 Li 0.4727 0.9454 0.9000  4 Li 2.58-2.81, 2 Rh 2.74, 2 Ag 2.78
9 Li 0.2391 0.4782 0.4079  3 Ag 2.65-2.84, 3 Li 2.80-2.82
10 Li 0.6231 0.2463 0.2500  1 Ag 2.59, 2 Rh 2.61, 4 Li 2.80-2.81
11 Li 0.5273 0.0546 0.1000  4 Li 2.58-2.81, 2 Rh 2.74, 2 Ag 2.78
12 Li 0.5273 0.0546 0.4000  4 Li 2.58-2.81, 2 Rh 2.74, 2 Ag 2.78
13 Li 0.6108 0.2216 0.8330  5 Li 2.53-2.82, 2 Rh 2.61, 4 Ag 2.67-2.73
14 Li 0.4727 0.9454 0.6000  4 Li 2.58-2.81, 2 Rh 2.74, 2 Ag 2.78
15 Ag 0.1199 0.2399 0.9820  5 Li 2.65-2.78, 2 Ag 2.80
16 Ag 0.2262 0.4523 0.7500  9 Li 2.59-2.84, 2 Ag 2.80
17 Ag 0.8801 0.7601 0.4820  5 Li 2.65-2.78, 2 Ag 2.80
18 Ag 0.1199 0.2399 0.5180  5 Li 2.65-2.78, 2 Ag 2.80
19 Ag 0.7738 0.5477 0.2500  9 Li 2.59-2.84, 2 Ag 2.80
20 Ag 0.8801 0.7601 0.0180  5 Li 2.65-2.78, 2 Ag 2.80
21 Rh 0.0052 0.0105 0.7500  10 Li 2.61-2.74, 2 Rh 2.80
22 Rh 0.9948 0.9895 0.2500  10 Li 2.61-2.74, 2 Rh 2.80

---

> Which of these has the highest DOS at the Fermi energy?

Pa2S3